Computed, not measured: an optimized crystal structure of AcGaHPd2 at the PBE level of DFT.

The structure in POSCAR format:
```
AcGaHPd2
1.0
4.0996 0.0000 0.0000
-2.0498 5.6943 0.0000
0.0000 0.0000 7.5448
Ac Pd Ga H
2 4 2 2
Direct
0.5641 0.1282 0.2500
0.4359 0.8718 0.7500
0.1596 0.3192 0.9452
0.8404 0.6808 0.0548
0.8404 0.6808 0.4452
0.1596 0.3192 0.5548
0.7180 0.4360 0.7500
0.2820 0.5640 0.2500
0.0000 0.0000 0.0000
0.0000 0.0000 0.5000
```

Values from the calculation:
The space group is Cmcm. The uncorrected energy is -49.1 eV/cell.